(1)
This record from Alexandria describes crystalline FeSnMo2Pt at its relaxed geometry. The functional is PBE.

The density of states at the Fermi level comes out at 8.7 states/eV/f.u. The crystal system is tetragonal. For the formation energy, the calculation gives 1.9509 eV/atom.

It has space group P4/mmm (No. 123), with a = 4.8175 Å, b = 4.8175 Å, c = 4.9252 Å, α = 90.00°, β = 90.00° and γ = 90.00°. The asymmetric unit holds Fe at (0.0000, 0.0000, 0.0000), Sn at (0.5000, 0.5000, 0.0000), Mo at (0.0000, 0.5000, 0.5000) and Pt at (0.5000, 0.5000, 0.5000).


(2)
This record from Alexandria describes crystalline MgOsW2 at its relaxed geometry. The functional is PBE.

The density of states at the Fermi level comes out at 3.0 states/eV/f.u. The crystal system is orthorhombic. For the formation energy, the calculation gives 0.3071 eV/atom.

It has space group Imm2 (No. 44), with a = 3.1024 Å, b = 4.5768 Å, c = 8.9610 Å, α = 90.00°, β = 90.00° and γ = 90.00°. The asymmetric unit holds Mg at (0.0000, 0.0000, 0.0000), Os at (0.0000, 0.5000, 0.7557), W at (0.0000, 0.0000, 0.4940) and W at (0.0000, 0.5000, 0.2309).


(3)
This record from Alexandria describes crystalline Mg2ReN at its relaxed geometry. The functional is PBE.

The density of states at the Fermi level comes out at 2.7 states/eV/f.u. The crystal system is tetragonal. The formation energy (no corrections) is 5.90 kcal/mol of atoms.

It has space group I-42d (No. 122), with a = 8.2210 Å, b = 8.2210 Å, c = 3.8995 Å, α = 90.00°, β = 90.00° and γ = 90.00°. The asymmetric unit holds Mg at (0.1119, 0.7500, 0.1250), Re at (0.0000, 0.0000, 0.5000) and N at (0.0000, 0.0000, 0.0000).


(4)
This record from Alexandria describes crystalline Tm3SnSb2 at its relaxed geometry. The functional is PBE.

The density of states at the Fermi level comes out at 2.5 states/eV/f.u. The crystal system is monoclinic. The formation energy (no corrections) is -19.64 kcal/mol of atoms.

It has space group C2/c (No. 15), with a = 7.6419 Å, b = 13.0731 Å, c = 7.3630 Å, α = 90.00°, β = 109.66° and γ = 90.00°. The asymmetric unit holds Tm at (0.2462, 0.0844, 0.0013), Tm at (0.2500, 0.2500, 0.5000), Sn at (0.0000, 0.4175, 0.2500), Sb at (0.0000, 0.0834, 0.2500) and Sb at (0.0000, 0.2503, 0.7500).


(5)
This record from Alexandria describes crystalline AcGaBiPd at its relaxed geometry. The functional is PBE.

The density of states at the Fermi level comes out at 1.9 states/eV/f.u. The crystal system is cubic. For the formation energy, the calculation gives -0.5055 eV/atom.

It has space group F-43m (No. 216), with a = 7.4225 Å, b = 7.4225 Å, c = 7.4225 Å, α = 90.00°, β = 90.00° and γ = 90.00°. The asymmetric unit holds Ac at (0.0000, 0.0000, 0.0000), Ga at (0.2500, 0.2500, 0.2500), Bi at (0.0000, 0.0000, 0.5000) and Pd at (0.2500, 0.2500, 0.7500).


(6)
This record from Alexandria describes crystalline MgNiIN2 at its relaxed geometry. The functional is PBE.

The density of states at the Fermi level comes out at 4.6 states/eV/f.u. The crystal system is tetragonal. As for the energy relative to the lowest polymorph listed for this composition: 419 meV per atom. The formation energy (no corrections) is 33.81 kcal/mol of atoms.

It has space group P4/mmm (No. 123), with a = 3.8691 Å, b = 3.8691 Å, c = 6.0185 Å, α = 90.00°, β = 90.00° and γ = 90.00°. The asymmetric unit holds Mg at (0.0000, 0.0000, 0.0000), Ni at (0.5000, 0.5000, 0.5000), I at (0.0000, 0.0000, 0.5000) and N at (0.0000, 0.5000, 0.0000).


(7)
This record from Alexandria describes crystalline CdPtSe2 at its relaxed geometry. The functional is PBE.

The density of states at the Fermi level comes out at 0.8 states/eV/f.u. The crystal system is tetragonal. The formation energy (no corrections) is 3.95 kcal/mol of atoms.

It has space group P4/mmm (No. 123), with a = 5.1126 Å, b = 5.1126 Å, c = 2.9587 Å, α = 90.00°, β = 90.00° and γ = 90.00°. The asymmetric unit holds Cd at (0.0000, 0.0000, 0.0000), Pt at (0.5000, 0.5000, 0.0000) and Se at (0.0000, 0.5000, 0.5000).


(8)
This record from Alexandria describes crystalline GeRuRh at its relaxed geometry. The functional is PBE.

The density of states at the Fermi level comes out at 2.3 states/eV/f.u. The crystal system is monoclinic. As for the energy relative to the lowest polymorph listed for this composition: 28 meV per atom. For the formation energy, the calculation gives -0.2104 eV/atom.

It has space group Cm (No. 8), with a = 12.8218 Å, b = 2.8751 Å, c = 4.6651 Å, α = 90.00°, β = 90.87° and γ = 90.00°. The asymmetric unit holds Ge at (0.0000, 0.0000, 0.0000), Ge at (0.1874, 0.0000, 0.5025), Ru at (0.0214, 0.5000, 0.5553), Ru at (0.3577, 0.5000, 0.3463), Rh at (0.1628, 0.5000, 0.0572) and Rh at (0.3343, 0.0000, 0.8428).


M_tot (computed, μB per formula unit): 2.07; 0.00; 0.00; 0.00; 0.00; 3.64; 0.00; 0.00
Calculated total energy (computed, eV/cell): -30.4; -75.0; -91.8; -123.1; -72.9; -18.2; -13.2; -87.5